# Sm2Ho3Hg2

A relaxed Sm2Ho3Hg2 crystal (PBE, Alexandria via LeMat-Bulk).

Summary:
- Magnetic moment: 0.00 μB/f.u.
- SG: No. 166
- E_form: -0.234 eV/atom
- Theoretical density: 9920 kg/m3
- E_tot: -3.631 eV per atom

```
data_Sm2Ho3Hg2
_cell_length_a 8.5467
_cell_length_b 8.5467
_cell_length_c 8.5467
_cell_angle_alpha 36.76
_cell_angle_beta 36.76
_cell_angle_gamma 36.76
_symmetry_space_group_name_H-M 'P 1'
_symmetry_Int_Tables_number 1
_symmetry_space_group_name_Hall 'P 1'
loop_
_atom_site_label
_atom_site_fract_x
_atom_site_fract_y
_atom_site_fract_z
Sm1 0.0754 0.0754 0.0754
Sm2 0.9246 0.9246 0.9246
Ho1 0.3426 0.3426 0.3426
Ho2 0.5000 0.5000 0.5000
Ho3 0.6574 0.6574 0.6574
Hg1 0.2139 0.2139 0.2139
Hg2 0.7861 0.7861 0.7861
```



# GaPHPtS

A relaxed GaPHPtS crystal (PBE, Alexandria via LeMat-Bulk).

Summary:
- Magnetic moment: 0.00 μB/f.u.
- SG: No. 1
- Theoretical density: 5855 kg/m3
- E_tot: -4.696 eV per atom

```
data_GaPHPtS
_cell_length_a 3.6928
_cell_length_b 3.7011
_cell_length_c 8.0763
_cell_angle_alpha 93.51
_cell_angle_beta 99.15
_cell_angle_gamma 119.83
_symmetry_space_group_name_H-M 'P 1'
_symmetry_Int_Tables_number 1
_symmetry_space_group_name_Hall 'P 1'
loop_
_atom_site_label
_atom_site_fract_x
_atom_site_fract_y
_atom_site_fract_z
Ga1 0.0000 0.0000 0.0000
P1 0.6339 0.7176 0.3733
H1 0.7044 0.8193 0.5539
Pt1 0.9130 0.3317 0.2627
S1 0.5774 0.2876 0.8576
```



# In2ReTe

A relaxed In2ReTe crystal (PBE, Alexandria via LeMat-Bulk).

Summary:
- Formation energy without anion corrections: 0.8130 eV per atom
- Magnetic moment: 0.00 μB/f.u.
- SG: No. 47
- Theoretical density: 10498 kg/m3
- E_tot: -4.454 eV per atom

```
data_In2ReTe
_cell_length_a 3.5210
_cell_length_b 4.8953
_cell_length_c 4.9872
_cell_angle_alpha 90.00
_cell_angle_beta 90.00
_cell_angle_gamma 90.00
_symmetry_space_group_name_H-M 'P 1'
_symmetry_Int_Tables_number 1
_symmetry_space_group_name_Hall 'P 1'
loop_
_atom_site_label
_atom_site_fract_x
_atom_site_fract_y
_atom_site_fract_z
In1 0.0000 0.0000 0.0000
In2 0.5000 0.0000 0.5000
Re1 0.0000 0.5000 0.5000
Te1 0.5000 0.5000 0.0000
```



# Ta2TlAg

A relaxed Ta2TlAg crystal (PBE, Alexandria via LeMat-Bulk).

Summary:
- Magnetic moment: 0.00 μB/f.u.
- SG: No. 12
- E_form: 0.482 eV/atom
- Theoretical density: 14725 kg/m3
- E_tot: -6.749 eV per atom

```
data_Ta2TlAg
_cell_length_a 5.3089
_cell_length_b 5.3089
_cell_length_c 2.9537
_cell_angle_alpha 90.12
_cell_angle_beta 90.12
_cell_angle_gamma 114.05
_symmetry_space_group_name_H-M 'P 1'
_symmetry_Int_Tables_number 1
_symmetry_space_group_name_Hall 'P 1'
loop_
_atom_site_label
_atom_site_fract_x
_atom_site_fract_y
_atom_site_fract_z
Ta1 0.0000 0.5000 0.0000
Ta2 0.5000 0.0000 0.0000
Tl1 0.0000 0.0000 0.5000
Ag1 0.5000 0.5000 0.5000
```



# Na2MgSn3Pt4

A relaxed Na2MgSn3Pt4 crystal (PBE, Alexandria via LeMat-Bulk).

Summary:
- Magnetic moment: 0.00 μB/f.u.
- SG: No. 115
- E_form: -0.515 eV/atom
- Theoretical density: 9004 kg/m3
- E_tot: -4.556 eV per atom

```
data_Na2MgSn3Pt4
_cell_length_a 4.4692
_cell_length_b 4.4692
_cell_length_c 11.1418
_cell_angle_alpha 90.00
_cell_angle_beta 90.00
_cell_angle_gamma 90.00
_symmetry_space_group_name_H-M 'P 1'
_symmetry_Int_Tables_number 1
_symmetry_space_group_name_Hall 'P 1'
loop_
_atom_site_label
_atom_site_fract_x
_atom_site_fract_y
_atom_site_fract_z
Na1 0.0000 0.5000 0.2436
Na2 0.5000 0.0000 0.7564
Mg1 0.0000 0.0000 0.5000
Sn1 0.0000 0.5000 0.8678
Sn2 0.5000 0.0000 0.1322
Sn3 0.5000 0.5000 0.5000
Pt1 0.0000 0.0000 0.0000
Pt2 0.0000 0.5000 0.6327
Pt3 0.5000 0.0000 0.3673
Pt4 0.5000 0.5000 0.0000
```



# Y2ZrCr

A relaxed Y2ZrCr crystal (PBE, Alexandria via LeMat-Bulk).

Summary:
- Magnetic moment: 1.56 μB/f.u.
- SG: No. 119
- E_form: 0.382 eV/atom
- Theoretical density: 5422 kg/m3
- E_tot: -7.393 eV per atom

```
data_Y2ZrCr
_cell_length_a 5.1773
_cell_length_b 5.1773
_cell_length_c 5.1773
_cell_angle_alpha 119.87
_cell_angle_beta 119.87
_cell_angle_gamma 90.22
_symmetry_space_group_name_H-M 'P 1'
_symmetry_Int_Tables_number 1
_symmetry_space_group_name_Hall 'P 1'
loop_
_atom_site_label
_atom_site_fract_x
_atom_site_fract_y
_atom_site_fract_z
Y1 0.0000 0.0000 0.0000
Y2 0.7500 0.2500 0.5000
Zr1 0.5000 0.5000 0.0000
Cr1 0.2500 0.7500 0.5000
```



# ZrGa3Pt

A relaxed ZrGa3Pt crystal (PBE, Alexandria via LeMat-Bulk).

Summary:
- Magnetic moment: 0.00 μB/f.u.
- SG: No. 221
- E_form: 0.978 eV/atom
- Theoretical density: 6200 kg/m3
- E_tot: -3.756 eV per atom

```
data_ZrGa3Pt
_cell_length_a 5.1006
_cell_length_b 5.1006
_cell_length_c 5.1006
_cell_angle_alpha 90.00
_cell_angle_beta 90.00
_cell_angle_gamma 90.00
_symmetry_space_group_name_H-M 'P 1'
_symmetry_Int_Tables_number 1
_symmetry_space_group_name_Hall 'P 1'
loop_
_atom_site_label
_atom_site_fract_x
_atom_site_fract_y
_atom_site_fract_z
Zr1 0.0000 0.0000 0.0000
Ga1 0.0000 0.0000 0.5000
Ga2 0.0000 0.5000 0.0000
Ga3 0.5000 0.0000 0.0000
Pt1 0.5000 0.5000 0.5000
```



# Na2ZrPaN4

A relaxed Na2ZrPaN4 crystal (PBE, Alexandria via LeMat-Bulk).

Summary:
- Formation energy without anion corrections: -0.9877 eV per atom
- Magnetic moment: 0.35 μB/f.u.
- SG: No. 10
- Theoretical density: 6012 kg/m3
- E_tot: -7.736 eV per atom

```
data_Na2ZrPaN4
_cell_length_a 5.9148
_cell_length_b 3.4787
_cell_length_c 6.0142
_cell_angle_alpha 90.00
_cell_angle_beta 108.75
_cell_angle_gamma 90.00
_symmetry_space_group_name_H-M 'P 1'
_symmetry_Int_Tables_number 1
_symmetry_space_group_name_Hall 'P 1'
loop_
_atom_site_label
_atom_site_fract_x
_atom_site_fract_y
_atom_site_fract_z
Na1 0.0000 0.0000 0.0000
Na2 0.5000 0.5000 0.0000
Zr1 0.0000 0.5000 0.5000
Pa1 0.5000 0.0000 0.5000
N1 0.2302 0.0000 0.6886
N2 0.2655 0.5000 0.3093
N3 0.7345 0.5000 0.6907
N4 0.7698 0.0000 0.3114
```